Entry 1
A relaxed TmTaTi2 crystal, computed with PBE.

Space group ... R-3m

Unit cell a=3.0572 b=3.0572 c=10.1602 alpha=81.35 beta=81.35 gamma=60.00
Fractional coordinates of all 4 atoms:
Tm 0.5000 0.5000 0.5000
Ta 0.0000 0.0000 0.0000
Ti 0.7426 0.7426 0.7722
Ti 0.2574 0.2574 0.2278


Entry 2
A relaxed TmTaTi2 crystal, computed with PBE.

Space group ... P4/mmm

Unit cell a=3.4731 b=3.4731 c=6.7647 alpha=90.00 beta=90.00 gamma=90.00
Fractional coordinates of all 4 atoms:
Tm 0.5000 0.5000 0.5000
Ta 0.5000 0.5000 0.0000
Ti 0.0000 0.0000 0.1996
Ti 0.0000 0.0000 0.8004


Most stable: entry 2. Least stable: entry 1.


Entry 1
A relaxed TaTi2V crystal, computed with PBE.

Space group ... P4/mmm

Unit cell a=3.1681 b=3.1681 c=6.5186 alpha=90.00 beta=90.00 gamma=90.00
Fractional coordinates of all 4 atoms:
V 0.5000 0.5000 0.0000
Ta 0.5000 0.5000 0.5000
Ti 0.0000 0.0000 0.7721
Ti 0.0000 0.0000 0.2279


Entry 2
A relaxed TaTi2V crystal, computed with PBE.

Space group ... I-42d

Unit cell a=7.0586 b=7.0586 c=5.6791 alpha=51.58 beta=51.58 gamma=90.00
Fractional coordinates of all 8 atoms:
Ti 0.1440 0.6250 0.2500
Ti 0.6060 0.1250 0.2500
Ta 0.0000 0.0000 0.0000
V 0.2500 0.7500 0.5000
Ti 0.8750 0.8560 0.7500
Ta 0.7500 0.2500 0.5000
V 0.5000 0.5000 0.0000
Ti 0.3750 0.3940 0.7500


Most stable: entry 1. Least stable: entry 2.


Entry 1
A relaxed TaTi2V crystal, computed with PBE.

Space group ... P4/mmm

Unit cell a=3.2530 b=4.5186 c=4.5186 alpha=90.00 beta=90.00 gamma=90.00
Each line ends with the local moment (μB).
Fractional coordinates of all 4 atoms:
Ti 0.0000 0.0000 0.5000  0.12
V 0.5000 0.5000 0.5000  1.25
Ti 0.0000 0.5000 0.0000  0.12
Ta 0.5000 0.0000 0.0000  -0.12


Entry 2
A relaxed TaTi2V crystal, computed with PBE.

Space group ... Cmcm

Unit cell a=3.2551 b=5.2626 c=8.2353 alpha=90.00 beta=90.00 gamma=107.98
Fractional coordinates of all 8 atoms:
V 0.7442 0.4872 0.7500
Ti 0.6359 0.2716 0.0492
Ti 0.3641 0.7284 0.9508
Ti 0.6359 0.2716 0.4508
Ta 0.9677 0.9349 0.2500
V 0.2558 0.5128 0.2500
Ti 0.3641 0.7284 0.5492
Ta 0.0323 0.0651 0.7500


Most stable: entry 1. Least stable: entry 2.


Entry 1
A relaxed TaTi2V crystal, computed with PBE.

Space group ... Cm

Unit cell a=2.9953 b=2.9953 c=9.5268 alpha=72.45 beta=72.45 gamma=55.87
Fractional coordinates of all 4 atoms:
Ta 0.4484 0.4484 0.5012
V 0.6902 0.6902 0.9989
Ti 0.3147 0.3147 0.2311
Ti 0.0467 0.0467 0.7688


Entry 2
A relaxed TaTi2V crystal, computed with PBE.

Space group ... Fm-3m

Unit cell a=4.5450 b=4.5450 c=4.5450 alpha=60.00 beta=60.00 gamma=60.00
Each line ends with the local moment (μB).
Fractional coordinates of all 4 atoms:
V 0.0000 0.0000 0.0000  1.34
Ti 0.2500 0.2500 0.2500  0.17
Ta 0.5000 0.5000 0.5000  -0.19
Ti 0.7500 0.7500 0.7500  0.17


Most stable: entry 2. Least stable: entry 1.